# 1
Below is a relaxed DyTm2Cu crystal, with properties calculated at the PBE level.

Properties
Formation energy from the elements (eV per atom): 0.01
Energy above the most stable polymorph in this dataset (meV/atom): 135
D(E_F) (states/eV/cell): 4.92
V (Å³ per atom): 26.9
E_tot (eV/atom): -4.396

Unit cell a=3.6086 b=3.6086 c=9.7830 alpha=79.37 beta=79.37 gamma=60.00
Fractional positions:
Dy 0.5009 0.5009 0.4973
Tm 0.0669 0.0669 0.7993
Tm 0.2662 0.2662 0.2013
Cu 0.6660 0.6660 0.0021

---

# 2
Below is a relaxed Dy2Tm3Cu2 crystal, with properties calculated at the PBE level.

Properties
Formation energy from the elements (eV per atom): -0.13
D(E_F) (states/eV/cell): 9.24
V (Å³ per atom): 25.2
E_tot (eV/atom): -4.535

Unit cell a=3.5700 b=6.4499 c=8.9448 alpha=115.96 beta=90.00 gamma=106.07
Fractional positions:
Dy 0.8447 0.6895 0.1869
Dy 0.1553 0.3105 0.8131
Tm 0.5000 0.0000 0.0000
Tm 0.6145 0.2289 0.4435
Tm 0.3855 0.7711 0.5565
Cu 0.8304 0.6607 0.7686
Cu 0.1696 0.3393 0.2314

---

# 3
Below is a relaxed DyTm2Cu crystal, with properties calculated at the PBE level.

Properties
Formation energy from the elements (eV per atom): -0.11
Energy above the most stable polymorph in this dataset (meV/atom): 7
D(E_F) (states/eV/cell): 4.98
V (Å³ per atom): 25.5
E_tot (eV/atom): -4.524

Unit cell a=3.4388 b=3.4388 c=8.6283 alpha=90.00 beta=90.00 gamma=90.00
Fractional positions:
Tm 0.0000 0.0000 0.8029
Tm 0.0000 0.0000 0.1971
Cu 0.5000 0.5000 0.0000
Dy 0.5000 0.5000 0.5000

---

# 4
Below is a relaxed Dy2Tm3Cu4 crystal, with properties calculated at the PBE level.

Properties
Formation energy from the elements (eV per atom): -0.20
D(E_F) (states/eV/cell): 17.23
V (Å³ per atom): 22.2
E_tot (eV/atom): -4.538

Unit cell a=6.9863 b=8.4029 c=7.1845 alpha=90.00 beta=90.00 gamma=109.03
Fractional positions:
Dy 0.5599 0.1889 0.3203
Dy 0.9401 0.8111 0.8203
Dy 0.4401 0.8111 0.6797
Dy 0.0599 0.1889 0.1797
Tm 0.0000 0.5000 0.5000
Tm 0.5000 0.5000 0.0000
Tm 0.7290 0.2355 0.8255
Tm 0.7710 0.7645 0.3255
Tm 0.2710 0.7645 0.1745
Tm 0.2290 0.2355 0.6745
Cu 0.8484 0.0650 0.5312
Cu 0.6516 0.9350 0.0312
Cu 0.1516 0.9350 0.4688
Cu 0.3484 0.0650 0.9688
Cu 0.8784 0.4904 0.1254
Cu 0.6216 0.5096 0.6254
Cu 0.1216 0.5096 0.8746
Cu 0.3784 0.4904 0.3746

---

# 5
Below is a relaxed Dy4TmCu5 crystal, with properties calculated at the PBE level.

Properties
Formation energy from the elements (eV per atom): -0.26
D(E_F) (states/eV/cell): 3.79
V (Å³ per atom): 20.6
E_tot (eV/atom): -4.600

Unit cell a=3.4392 b=3.4392 c=17.4478 alpha=90.00 beta=90.00 gamma=90.00
Fractional positions:
Dy 0.0000 0.0000 0.1984
Dy 0.0000 0.0000 0.3996
Dy 0.0000 0.0000 0.6004
Dy 0.0000 0.0000 0.8016
Tm 0.0000 0.0000 0.0000
Cu 0.5000 0.5000 0.0965
Cu 0.5000 0.5000 0.2991
Cu 0.5000 0.5000 0.5000
Cu 0.5000 0.5000 0.7009
Cu 0.5000 0.5000 0.9035

---

# 6
Below is a relaxed DyTm2Cu crystal, with properties calculated at the PBE level.

Properties
Formation energy from the elements (eV per atom): -0.08
Energy above the most stable polymorph in this dataset (meV/atom): 41
D(E_F) (states/eV/cell): 10.25
V (Å³ per atom): 26.0
E_tot (eV/atom): -4.490

Unit cell a=4.8456 b=6.2108 c=7.4967 alpha=90.00 beta=90.00 gamma=112.91
Fractional positions:
Dy 0.9550 0.9099 0.2500
Dy 0.0450 0.0901 0.7500
Tm 0.3513 0.7024 0.5337
Tm 0.6487 0.2976 0.4663
Tm 0.3513 0.7024 0.9663
Tm 0.6487 0.2976 0.0337
Cu 0.7982 0.5946 0.7500
Cu 0.2018 0.4054 0.2500

---

# 7
Below is a relaxed Dy2Tm2Cu3 crystal, with properties calculated at the PBE level.

Properties
Formation energy from the elements (eV per atom): -0.15
D(E_F) (states/eV/cell): 5.56
V (Å³ per atom): 22.9
E_tot (eV/atom): -4.495

Unit cell a=4.8258 b=4.8255 c=8.4182 alpha=89.99 beta=106.66 gamma=120.00
Fractional positions:
Dy 0.2497 0.1249 0.3746
Dy 0.7503 0.8751 0.6254
Tm 0.7495 0.3748 0.1243
Tm 0.2505 0.6252 0.8757
Cu 0.0000 0.0000 0.0000
Cu 0.5025 0.2510 0.7538
Cu 0.4975 0.7490 0.2462

---

# 8
Below is a relaxed Dy2TmCu crystal, with properties calculated at the PBE level.

Properties
Formation energy from the elements (eV per atom): -0.11
Energy above the most stable polymorph in this dataset (meV/atom): 0
D(E_F) (states/eV/cell): 16.56
V (Å³ per atom): 26.4
E_tot (eV/atom): -4.555

Unit cell a=6.4497 b=6.8056 c=9.6132 alpha=90.00 beta=90.00 gamma=90.00
Fractional positions:
Dy 0.1877 0.6938 0.0595
Dy 0.3123 0.1938 0.4405
Dy 0.8123 0.3062 0.5595
Dy 0.6877 0.8062 0.9405
Dy 0.8123 0.3062 0.9405
Dy 0.6877 0.8062 0.5595
Dy 0.1877 0.6938 0.4405
Dy 0.3123 0.1938 0.0595
Tm 0.6308 0.5216 0.2500
Tm 0.8692 0.0216 0.2500
Tm 0.3692 0.4784 0.7500
Tm 0.1308 0.9784 0.7500
Cu 0.0459 0.4064 0.2500
Cu 0.4541 0.9064 0.2500
Cu 0.9541 0.5936 0.7500
Cu 0.5459 0.0936 0.7500